(1)
The following is a GGA-PBE calculation of an optimized crystal structure of NbTl2OF5, from Alexandria.

POSCAR file:
```
NbTl2OF5
1.0
-0.293 -1.671 -6.347
3.992 -2.662 4.488
-4.414 -1.597 4.596
Tl F Nb O
2 5 1 1
Direct
0.500 0.227 0.727
0.500 0.727 0.227
0.000 0.781 0.244
0.463 0.244 0.244
0.000 0.244 0.781
0.537 0.781 0.781
0.000 0.202 0.202
0.000 0.986 0.986
0.000 0.807 0.807
```

(2)
The following is a GGA-PBE calculation of an optimized crystal structure of KFe2P, from Alexandria.

POSCAR file:
```
KFe2P
1.0
2.646 0.000 0.000
0.000 5.260 0.000
0.000 0.000 4.934
K Fe P
1 2 1
Direct
0.500 0.000 0.500
0.500 0.500 0.000
0.000 0.000 0.000
0.000 0.500 0.500
```

Its calculated formation energy is 0.989 eV/atom.

(3)
The following is a GGA-PBE calculation of an optimized crystal structure of IrW2Au, from Alexandria.

POSCAR file:
```
IrW2Au
1.0
-9.130 -0.845 2.377
-8.308 -3.485 2.924
-7.986 -1.476 4.874
Au W Ir
1 2 1
Direct
0.250 0.250 0.250
0.496 0.496 0.496
0.004 0.004 0.004
0.750 0.750 0.750
```

Its calculated formation energy is 0.163 eV/atom. Its distance to the lowest polymorph of the same formula is 61.7 meV/atom.

(4)
The following is a GGA-PBE calculation of an optimized crystal structure of Pa4Bi2B, from Alexandria.

POSCAR file:
```
Pa4Bi2B
1.0
4.806 0.000 0.000
0.000 4.806 0.000
-2.403 -2.403 8.154
Bi B Pa
2 1 4
Direct
0.648 0.648 0.295
0.352 0.352 0.705
0.000 0.000 0.000
0.150 0.150 0.299
0.850 0.850 0.701
0.500 0.000 0.000
0.000 0.500 0.000
```

Its calculated formation energy is -0.065 eV/atom.

(5)
The following is a GGA-PBE calculation of an optimized crystal structure of ZrNp2Fe9, from Alexandria.

POSCAR file:
```
ZrNp2Fe9
1.0
4.619 0.000 1.375
2.105 4.112 1.375
-0.095 -0.058 8.766
Zr Fe Np
1 9 2
Direct
0.000 0.000 0.000
0.500 0.500 0.500
0.580 0.580 0.757
0.082 0.580 0.757
0.918 0.420 0.243
0.420 0.420 0.243
0.420 0.918 0.243
0.333 0.333 0.001
0.580 0.082 0.757
0.667 0.667 0.999
0.146 0.146 0.563
0.854 0.854 0.437
```

Its calculated formation energy is -0.044 eV/atom.

(6)
The following is a GGA-PBE calculation of an optimized crystal structure of Mn5Tc, from Alexandria.

POSCAR file:
```
Mn5Tc
1.0
2.280 -3.950 0.000
2.280 3.950 0.000
0.000 0.000 3.986
Mn Tc
5 1
Direct
0.667 0.333 0.000
0.500 0.000 0.500
0.333 0.667 0.000
0.500 0.500 0.500
0.000 0.500 0.500
0.000 0.000 0.000
```

Its calculated formation energy is 0.275 eV/atom. Its distance to the lowest polymorph of the same formula is 239.8 meV/atom.

(7)
The following is a GGA-PBE calculation of an optimized crystal structure of GaCoI3, from Alexandria.

POSCAR file:
```
GaCoI3
1.0
5.417 0.000 0.000
0.000 5.417 0.000
0.000 0.000 5.417
Co Ga I
1 1 3
Direct
0.000 0.000 0.000
0.500 0.500 0.500
0.000 0.000 0.500
0.000 0.500 0.000
0.500 0.000 0.000
```

Its distance to the lowest polymorph of the same formula is 0.0 meV/atom.

(8)
The following is a GGA-PBE calculation of an optimized crystal structure of CaNd2Pd2, from Alexandria.

POSCAR file:
```
CaNd2Pd2
1.0
4.086 0.000 0.000
0.000 8.011 0.000
0.000 0.000 8.011
Nd Ca Pd
4 2 4
Direct
0.000 0.837 0.837
0.000 0.337 0.663
0.000 0.663 0.337
0.000 0.163 0.163
0.500 0.500 0.000
0.500 0.000 0.500
0.500 0.131 0.869
0.500 0.631 0.631
0.500 0.369 0.369
0.500 0.869 0.131
```

Its calculated formation energy is -0.647 eV/atom. Its distance to the lowest polymorph of the same formula is 0.0 meV/atom.

no.,VASP energy (eV per atom)
1,-5.70
2,-4.87
3,-9.35
4,-7.55
5,-9.26
6,-9.09
7,-2.88
8,-5.03